(1)
# Zr3Rh, relaxed, DFT PBE
data_Zr3Rh
_cell_length_a 5.9583
_cell_length_b 5.9583
_cell_length_c 10.6106
_cell_angle_alpha 90.00
_cell_angle_beta 90.00
_cell_angle_gamma 120.00
_symmetry_space_group_name_H-M 'P 63/m m c'
_symmetry_Int_Tables_number 194
_symmetry_space_group_name_Hall '-P 6c 2c'
loop_
_atom_site_label
_atom_site_fract_x
_atom_site_fract_y
_atom_site_fract_z
Zr1 0.0000 0.5000 0.0000
Zr2 0.1616 0.3232 0.2500
Rh1 0.0000 0.0000 0.0000
Rh2 0.3333 0.6667 0.7500
# N(E_F) in states/eV/cell: 23.1
# Total energy in eV per atom: -8.427
# DFT formation energy in eV per atom: -0.178



(2)
# ZrRh4, relaxed, DFT PBE
data_ZrRh4
_cell_length_a 6.222
_cell_length_b 6.222
_cell_length_c 3.992
_cell_angle_alpha 90.00
_cell_angle_beta 90.00
_cell_angle_gamma 90.00
_symmetry_space_group_name_H-M 'I 4/m'
_symmetry_Int_Tables_number 87
_symmetry_space_group_name_Hall '-I 4'
loop_
_atom_site_label
_atom_site_fract_x
_atom_site_fract_y
_atom_site_fract_z
Zr1 0.000 0.000 0.000
Rh1 0.100 0.307 0.500
# N(E_F) in states/eV/cell: 7.9
# Total energy in eV per atom: -8.045
# DFT formation energy in eV per atom: -0.454
# Offset from the most stable computed form in meV/atom: 0



(3)
# ZrRh5, relaxed, DFT PBE
data_ZrRh5
_cell_length_a 10.121
_cell_length_b 2.839
_cell_length_c 6.583
_cell_angle_alpha 90.00
_cell_angle_beta 104.56
_cell_angle_gamma 90.00
_symmetry_space_group_name_H-M 'C 1 m 1'
_symmetry_Int_Tables_number 8
loop_
_symmetry_equiv_pos_as_xyz
'x,y,z'
'x,-y,z'
'x+1/2,y+1/2,z'
'x+1/2,-y+1/2,z'
loop_
_atom_site_label
_atom_site_fract_x
_atom_site_fract_y
_atom_site_fract_z
Zr1 0.000 0.000 0.000
Rh1 0.116 0.500 0.719
Rh2 0.167 0.500 0.329
Rh3 0.277 0.000 0.055
Rh4 0.336 0.000 0.665
Rh5 0.447 0.500 0.397
# N(E_F) in states/eV/cell: 14.6
# Total energy in eV per atom: -7.834
# DFT formation energy in eV per atom: -0.283



(4)
# Zr4Rh5, relaxed, DFT PBE
data_Zr4Rh5
_cell_length_a 8.0373
_cell_length_b 8.0373
_cell_length_c 5.6499
_cell_angle_alpha 90.00
_cell_angle_beta 90.00
_cell_angle_gamma 120.00
_symmetry_space_group_name_H-M 'P 63/m c m'
_symmetry_Int_Tables_number 193
_symmetry_space_group_name_Hall '-P 6c 2'
loop_
_atom_site_label
_atom_site_fract_x
_atom_site_fract_y
_atom_site_fract_z
Zr1 0.0000 0.0000 0.0000
Zr2 0.0000 0.3700 0.2500
Rh1 0.0000 0.3062 0.7500
Rh2 0.3333 0.6667 0.0000
# N(E_F) in states/eV/cell: 8.8
# Total energy in eV per atom: -8.589
# DFT formation energy in eV per atom: -0.705
# Offset from the most stable computed form in meV/atom: 8



(5)
# ZrRh5, relaxed, DFT PBE
data_ZrRh5
_cell_length_a 7.254
_cell_length_b 7.254
_cell_length_c 7.254
_cell_angle_alpha 90.00
_cell_angle_beta 90.00
_cell_angle_gamma 90.00
_symmetry_space_group_name_H-M 'F -4 3 m'
_symmetry_Int_Tables_number 216
_symmetry_space_group_name_Hall 'F -4 2 3'
loop_
_atom_site_label
_atom_site_fract_x
_atom_site_fract_y
_atom_site_fract_z
Zr1 0.000 0.000 0.000
Rh1 0.124 0.124 0.624
Rh2 0.250 0.250 0.250
# N(E_F) in states/eV/cell: 48.9
# Total energy in eV per atom: -7.741
# DFT formation energy in eV per atom: -0.190



(6)
# Zr3Rh5, relaxed, DFT PBE
data_Zr3Rh5
_cell_length_a 7.8622
_cell_length_b 7.8622
_cell_length_c 5.4858
_cell_angle_alpha 90.00
_cell_angle_beta 90.00
_cell_angle_gamma 120.00
_symmetry_space_group_name_H-M 'P 63/m c m'
_symmetry_Int_Tables_number 193
_symmetry_space_group_name_Hall '-P 6c 2'
loop_
_atom_site_label
_atom_site_fract_x
_atom_site_fract_y
_atom_site_fract_z
Zr1 0.0000 0.3706 0.2500
Rh1 0.0000 0.2974 0.7500
Rh2 0.3333 0.6667 0.0000
# N(E_F) in states/eV/cell: 5.8
# Total energy in eV per atom: -8.359
# DFT formation energy in eV per atom: -0.558



(7)
# Zr3Rh, relaxed, DFT PBE
data_Zr3Rh
_cell_length_a 4.847
_cell_length_b 4.847
_cell_length_c 3.392
_cell_angle_alpha 90.00
_cell_angle_beta 90.00
_cell_angle_gamma 90.00
_symmetry_space_group_name_H-M 'P 4/m m m'
_symmetry_Int_Tables_number 123
_symmetry_space_group_name_Hall '-P 4 2'
loop_
_atom_site_label
_atom_site_fract_x
_atom_site_fract_y
_atom_site_fract_z
Zr1 0.000 0.000 0.000
Zr2 0.000 0.500 0.500
Rh1 0.500 0.500 0.000
# N(E_F) in states/eV/cell: 6.8
# Total energy in eV per atom: -8.537
# DFT formation energy in eV per atom: -0.288



(8)
# Zr3Rh, relaxed, DFT PBE
data_Zr3Rh
_cell_length_a 6.806
_cell_length_b 6.806
_cell_length_c 6.806
_cell_angle_alpha 90.00
_cell_angle_beta 90.00
_cell_angle_gamma 90.00
_symmetry_space_group_name_H-M 'F m -3 m'
_symmetry_Int_Tables_number 225
_symmetry_space_group_name_Hall '-F 4 2 3'
loop_
_atom_site_label
_atom_site_fract_x
_atom_site_fract_y
_atom_site_fract_z
Zr1 0.000 0.000 0.000
Zr2 0.250 0.250 0.250
Rh1 0.000 0.000 0.500
# N(E_F) in states/eV/cell: 26.2
# Total energy in eV per atom: -8.486
# DFT formation energy in eV per atom: -0.237



(9)
# ZrRh4, relaxed, DFT PBE
data_ZrRh4
_cell_length_a 4.191
_cell_length_b 5.539
_cell_length_c 13.436
_cell_angle_alpha 90.00
_cell_angle_beta 90.00
_cell_angle_gamma 90.00
_symmetry_space_group_name_H-M 'I m m a'
_symmetry_Int_Tables_number 74
_symmetry_space_group_name_Hall '-I 2b 2'
loop_
_atom_site_label
_atom_site_fract_x
_atom_site_fract_y
_atom_site_fract_z
Zr1 0.000 0.250 0.106
Rh1 0.000 0.000 0.500
Rh2 0.000 0.012 0.696
Rh3 0.000 0.250 0.894
# N(E_F) in states/eV/cell: 21.9
# Total energy in eV per atom: -8.037
# DFT formation energy in eV per atom: -0.446
# Offset from the most stable computed form in meV/atom: 8



(10)
# Zr4Rh, relaxed, DFT PBE
data_Zr4Rh
_cell_length_a 6.267
_cell_length_b 6.267
_cell_length_c 6.267
_cell_angle_alpha 90.00
_cell_angle_beta 90.00
_cell_angle_gamma 90.00
_symmetry_space_group_name_H-M 'I m -3 m'
_symmetry_Int_Tables_number 229
_symmetry_space_group_name_Hall '-I 4 2 3'
loop_
_atom_site_label
_atom_site_fract_x
_atom_site_fract_y
_atom_site_fract_z
Zr1 0.250 0.250 0.250
Rh1 0.000 0.000 0.000
# N(E_F) in states/eV/cell: 17.5
# Total energy in eV per atom: -7.997
# DFT formation energy in eV per atom: 0.312
# Offset from the most stable computed form in meV/atom: 641



(11)
# Zr4Rh5, relaxed, DFT PBE
data_Zr4Rh5
_cell_length_a 8.834
_cell_length_b 8.834
_cell_length_c 4.061
_cell_angle_alpha 90.00
_cell_angle_beta 90.00
_cell_angle_gamma 90.00
_symmetry_space_group_name_H-M 'I 4/m m m'
_symmetry_Int_Tables_number 139
_symmetry_space_group_name_Hall '-I 4 2'
loop_
_atom_site_label
_atom_site_fract_x
_atom_site_fract_y
_atom_site_fract_z
Zr1 0.000 0.299 0.000
Rh1 0.000 0.000 0.000
Rh2 0.165 0.165 0.500
# N(E_F) in states/eV/cell: 13.4
# Total energy in eV per atom: -8.597
# DFT formation energy in eV per atom: -0.713
# Offset from the most stable computed form in meV/atom: 0



(12)
# Zr5Rh2, relaxed, DFT PBE
data_Zr5Rh2
_cell_length_a 15.826
_cell_length_b 5.886
_cell_length_c 6.450
_cell_angle_alpha 90.00
_cell_angle_beta 95.38
_cell_angle_gamma 90.00
_symmetry_space_group_name_H-M 'C 1 2/c 1'
_symmetry_Int_Tables_number 15
loop_
_symmetry_equiv_pos_as_xyz
'x,y,z'
'-x,-y,-z'
'-x,y,-z+1/2'
'x,-y,z+1/2'
'x+1/2,y+1/2,z'
'-x+1/2,-y+1/2,-z'
'-x+1/2,y+1/2,-z+1/2'
'x+1/2,-y+1/2,z+1/2'
loop_
_atom_site_label
_atom_site_fract_x
_atom_site_fract_y
_atom_site_fract_z
Zr1 0.000 0.108 0.250
Zr2 0.095 0.413 0.924
Zr3 0.223 0.115 0.289
Rh1 0.111 0.159 0.582
# N(E_F) in states/eV/cell: 34.4
# Total energy in eV per atom: -8.601
# DFT formation energy in eV per atom: -0.395



Number 1: total magnetic moment 0.000 μB per atom. Number 2: total magnetic moment 0.000 μB per atom. Number 3: total magnetic moment 0.000 μB per atom. Number 4: total magnetic moment 0.000 μB per atom. Number 5: total magnetic moment 0.000 μB per atom. Number 6: total magnetic moment 0.000 μB per atom. Number 7: total magnetic moment 0.000 μB per atom. Number 8: total magnetic moment 0.047 μB per atom. Number 9: total magnetic moment 0.000 μB per atom. Number 10: total magnetic moment 0.000 μB per atom. Number 11: total magnetic moment 0.000 μB per atom. Number 12: total magnetic moment 0.000 μB per atom.